The following is a DFT calculation (GGA-PBE) of a relaxed InPbI2N crystal.

The structure belongs to space group P4/mmm (No. 123); the cell edges are 6.452, 6.452 and 4.328 Å and the angles 90.00°, 90.00° and 90.00°. The inequivalent atoms are In at (0.000, 0.000, 0.000), Pb at (0.500, 0.500, 0.500), I at (0.000, 0.500, 0.500) and N at (0.500, 0.500, 0.000).

The density comes out at 5.44 g cm⁻³. The energy relative to the elements, uncorrected comes out at 0.463 eV per atom. For the energy above the most stable polymorph in this dataset, the calculation gives 0.22 eV per formula unit. The crystal system is tetragonal. For the magnetization, the calculation gives 0.9 μB per cell. Its density of states at the Fermi level is 4.18 states/eV per cell.